Material: Ho2PdN
Method: DFT, PBE-GGA
State: optimized geometry

Cell and atoms, written as POSCAR:
```
Ho2PdN
1.0
1.721 0.994 7.143
-1.721 0.994 7.143
0.000 -1.987 7.143
Ho Pd N
2 1 1
Cartesian
0.000 0.000 4.959 Ho
0.000 0.000 16.469 Ho
0.000 0.000 0.000 Pd
0.000 0.000 10.714 N
```

Formation energy (no corrections)   -1.094 eV per atom
Energy above the most stable polymorph in this dataset   0.0 meV/atom
Space-group type   R-3m (166)

***

Material: Na3TlHg2
Method: DFT, PBE-GGA
State: optimized geometry

Cell and atoms, written as POSCAR:
```
Na3TlHg2
1.0
3.578 0.000 0.000
0.000 3.578 0.000
0.000 0.000 12.513
Na Tl Hg
3 1 2
Cartesian
0.000 0.000 0.000 Na
0.000 0.000 4.012 Na
0.000 0.000 8.501 Na
1.789 1.789 6.257 Tl
1.789 1.789 1.981 Hg
1.789 1.789 10.532 Hg
```

Energy relative to the elements   -0.196 eV/atom
Energy above the most stable polymorph in this dataset   0.0 meV/atom
Space-group type   P4/mmm (123)

***

Material: NaLiAcIn
Method: DFT, PBE-GGA
State: optimized geometry

Cell and atoms, written as POSCAR:
```
NaLiAcIn
1.0
0.000 3.930 3.930
3.930 0.000 3.930
3.930 3.930 0.000
Na Li Ac In
1 1 1 1
Cartesian
0.000 0.000 0.000 Na
5.895 5.895 5.895 Li
3.930 3.930 3.930 Ac
1.965 1.965 1.965 In
```

Energy relative to the elements   -0.114 eV/atom
Space-group type   F-43m (216)

***

Material: MgSb2Pt
Method: DFT, PBE-GGA
State: optimized geometry

Cell and atoms, written as POSCAR:
```
MgSb2Pt
1.0
2.273 -2.516 0.000
2.273 2.516 0.000
0.000 0.000 7.835
Mg Sb Pt
1 2 1
Cartesian
0.000 0.000 0.000 Mg
2.273 0.000 2.212 Sb
2.273 0.000 5.623 Sb
0.000 0.000 3.917 Pt
```

Formation energy (no corrections)   -0.096 eV per atom
Space-group type   Cmmm (65)

***

Material: LiReAg2
Method: DFT, PBE-GGA
State: optimized geometry

Cell and atoms, written as POSCAR:
```
LiReAg2
1.0
-1.338 2.465 4.952
1.338 -2.465 4.952
1.338 2.465 -4.952
Li Re Ag
1 1 2
Cartesian
0.000 0.000 0.000 Li
1.338 0.000 2.513 Re
0.000 0.000 4.994 Ag
0.000 2.465 2.576 Ag
```

Energy relative to the elements   0.501 eV/atom
Energy above the most stable polymorph in this dataset   206.0 meV/atom
Space-group type   Imm2 (44)

***

Material: AcAgGe2Au
Method: DFT, PBE-GGA
State: optimized geometry

Cell and atoms, written as POSCAR:
```
AcAgGe2Au
1.0
-2.277 2.277 5.389
2.277 -2.277 5.389
2.277 2.277 -5.389
Ac Ag Ge Au
1 1 2 1
Cartesian
0.000 0.000 0.000 Ac
2.277 0.000 2.694 Ag
0.000 0.000 4.121 Ge
0.000 0.000 6.657 Ge
0.000 2.277 2.694 Au
```

Energy relative to the elements   -0.528 eV/atom
Space-group type   I-4m2 (119)

***

Material: BeAlCl2
Method: DFT, PBE-GGA
State: optimized geometry

Cell and atoms, written as POSCAR:
```
BeAlCl2
1.0
0.000 3.413 3.413
3.413 0.000 3.413
3.413 3.413 0.000
Be Al Cl
1 1 2
Cartesian
0.000 0.000 0.000 Be
3.413 3.413 3.413 Al
1.707 1.707 1.707 Cl
5.120 5.120 5.120 Cl
```

Formation energy (no corrections)   0.312 eV per atom
Energy above the most stable polymorph in this dataset   962.3 meV/atom
Space-group type   Fm-3m (225)

***

Material: CdPtF
Method: DFT, PBE-GGA
State: optimized geometry

Cell and atoms, written as POSCAR:
```
CdPtF
1.0
13.138 0.000 0.000
0.000 1.499 2.605
0.000 -1.499 2.605
Cd Pt F
2 2 2
Cartesian
0.000 0.000 0.000 Cd
6.569 0.000 0.811 Cd
4.363 0.000 4.286 Pt
8.774 0.000 4.286 Pt
1.441 0.000 1.732 F
11.697 0.000 1.732 F
```

Formation energy (no corrections)   -0.756 eV per atom
Space-group type   Amm2 (38)

***

Number 1: D(E_F) 2.6 states/eV/f.u.. Number 2: D(E_F) 2.1 states/eV/f.u.. Number 3: D(E_F) 2.8 states/eV/f.u.. Number 4: D(E_F) 2.1 states/eV/f.u.. Number 5: D(E_F) 2.1 states/eV/f.u.. Number 6: D(E_F) 1.8 states/eV/f.u.. Number 7: D(E_F) 2.1 states/eV/f.u.. Number 8: D(E_F) 0.7 states/eV/f.u..